Compound: LiAgSbRh2
Source: Alexandria
Functional: GGA-PBE
Structure: relaxed

Lattice parameters (Å, degrees): 4.9883 4.9869 4.9883 90.00 90.00 90.00
Positions (direct):
Li (0.5000, 0.5000, 0.5000)
Sb (0.0000, 0.5000, 0.0000)
Rh (0.5000, 0.0000, 0.0000)
Rh (0.0000, 0.0000, 0.5000)
Ag (0.0000, 0.0000, 0.0000)

The calculation puts the density of states at the Fermi level at 7.0 states/eV per cell. The formation energy without anion corrections is 106.62 kJ/mol of atoms. The total magnetization is 0.0 μB per formula unit.